Entry 1:
Entry from the Alexandria database: crystalline CsLa3Al at its relaxed geometry (PBE-GGA).

Lattice parameters (Å, degrees): 6.0771 6.0771 6.0771 90.00 90.00 90.00
Fractional positions:
Cs: 0.0000 0.0000 0.0000
La: 0.0000 0.5000 0.5000
La: 0.5000 0.0000 0.5000
La: 0.5000 0.5000 0.0000
Al: 0.5000 0.5000 0.5000

- Volume: 44.89 Å³/atom
- ρ: 4.3 g/cm3
- Density of states at the Fermi level: 7.95 states/eV/f.u.
- Formation enthalpy at 0 K: 0.343 eV/atom
- Distance to the lowest polymorph of the same formula: 0 meV per atom

Entry 2:
Entry from the Alexandria database: crystalline CdGa2MoOs at its relaxed geometry (PBE-GGA).

Lattice parameters (Å, degrees): 4.8037 4.8037 4.8858 90.00 90.00 90.00
Fractional positions:
Cd: 0.0000 0.0000 0.0000
Ga: 0.0000 0.5000 0.5000
Ga: 0.5000 0.0000 0.5000
Mo: 0.5000 0.5000 0.0000
Os: 0.5000 0.5000 0.5000

- Volume: 22.55 Å³/atom
- ρ: 7.9 g/cm3
- Density of states at the Fermi level: 3.66 states/eV/f.u.
- Formation enthalpy at 0 K: 0.675 eV/atom